Entry 1:
Here is a relaxed structure of Tb2TmBi2Te2 from the Alexandria database. Energies are from PBE-GGA.

```
Tb2TmBi2Te2
1.0
-2.910 2.910 7.616
2.910 -2.910 7.616
2.910 2.910 -7.616
Tb Tm Bi Te
2 1 2 2
direct
0.115 0.115 0.000
0.885 0.885 0.000
0.500 0.500 0.000
0.000 0.500 0.500
0.500 0.000 0.500
0.305 0.305 0.000
0.695 0.695 0.000
```

Output
Total magnetization (μB per atom): 0.000
Fermi-level density of states (states/eV per atom): 0.66
Total DFT energy (no corrections) (eV/cell): -31.579

=====

Entry 2:
Here is a relaxed structure of LaTb5Tm8 from the Alexandria database. Energies are from PBE-GGA.

```
LaTb5Tm8
1.0
-4.753 4.753 4.970
4.753 -4.753 4.970
4.753 4.753 -4.970
La Tb Tm
1 5 8
direct
0.000 0.000 0.000
0.212 0.309 0.678
0.250 0.750 0.500
0.466 0.788 0.098
0.632 0.534 0.322
0.691 0.368 0.902
0.157 0.421 0.083
0.338 0.074 0.917
0.425 0.167 0.401
0.579 0.662 0.736
0.767 0.024 0.599
0.833 0.233 0.258
0.926 0.843 0.264
0.976 0.575 0.742
```

Output
Total magnetization (μB per atom): 0.000
Fermi-level density of states (states/eV per atom): 1.43
Formation energy from the elements (eV per atom): 0.24
Total DFT energy (no corrections) (eV/cell): -60.447